(1)
First-principles (GGA-PBE) data for crystalline ThNi4H2 at its relaxed geometry, as listed in Alexandria.

Values from the calculation:
**Volume**: 164.4 Å³ per cell
**SG**: P4_2/mnm (136)
**Electronic total energy**: -5.50 eV/atom

Geometry as extended XYZ:
```
14
Lattice="6.413 0.000 0.000 0.000 6.413 0.000 0.000 0.000 3.997" Properties=species:S:1:pos:R:3 pbc="T T T"
Th 0.000 0.000 0.000
Th 3.207 3.207 1.999
Ni 0.232 2.069 1.999
Ni 1.138 3.439 0.000
Ni 2.069 0.232 1.999
Ni 2.975 5.276 0.000
Ni 3.439 1.138 0.000
Ni 4.344 6.182 1.999
Ni 5.276 2.975 0.000
Ni 6.182 4.344 1.999
H 1.027 5.387 1.999
H 2.180 2.180 0.000
H 4.233 4.233 0.000
H 5.387 1.027 1.999
```

---

(2)
First-principles (GGA-PBE) data for crystalline Na2TlBO4 at its relaxed geometry, as listed in Alexandria.

Values from the calculation:
**Volume**: 190.3 Å³ per cell
**Energy relative to the elements, uncorrected**: -1.440 eV/atom
**SG**: I-42m (121)
**Electronic total energy**: -5.38 eV/atom

Geometry as extended XYZ:
```
16
Lattice="5.892 0.000 0.000 0.000 5.892 0.000 0.000 0.000 5.483" Properties=species:S:1:pos:R:3 pbc="T T T"
Na 0.000 2.946 0.000
Na 0.000 2.946 2.741
Na 2.946 0.000 0.000
Na 2.946 0.000 2.741
Tl 0.000 0.000 0.000
Tl 2.946 2.946 2.741
B 0.000 0.000 2.741
B 2.946 2.946 0.000
O 0.864 0.864 1.840
O 0.864 5.027 3.643
O 2.082 2.082 4.581
O 2.082 3.810 0.902
O 3.810 2.082 0.902
O 3.810 3.810 4.581
O 5.027 0.864 3.643
O 5.027 5.027 1.840
```

---

(3)
First-principles (GGA-PBE) data for crystalline AcMgGaIr at its relaxed geometry, as listed in Alexandria.

Values from the calculation:
**Volume**: 363.8 Å³ per cell
**E_form**: -0.244 eV per atom
**SG**: F-43m (216)
**Electronic total energy**: -4.64 eV/atom

Geometry as extended XYZ:
```
16
Lattice="7.139 0.000 0.000 0.000 7.139 0.000 0.000 0.000 7.139" Properties=species:S:1:pos:R:3 pbc="T T T"
Ac 0.000 0.000 0.000
Ac 0.000 3.569 3.569
Ac 3.569 0.000 3.569
Ac 3.569 3.569 0.000
Mg 0.000 0.000 3.569
Mg 0.000 3.569 0.000
Mg 3.569 0.000 0.000
Mg 3.569 3.569 3.569
Ga 1.785 1.785 1.785
Ga 1.785 5.354 5.354
Ga 5.354 1.785 5.354
Ga 5.354 5.354 1.785
Ir 1.785 1.785 5.354
Ir 1.785 5.354 1.785
Ir 5.354 1.785 1.785
Ir 5.354 5.354 5.354
```

---

(4)
First-principles (GGA-PBE) data for crystalline K2Cu2PdBr6 at its relaxed geometry, as listed in Alexandria.

Values from the calculation:
**Volume**: 333.0 Å³ per cell
**Energy relative to the elements, uncorrected**: -0.812 eV/atom
**SG**: C2/m (12)
**Electronic total energy**: -3.14 eV/atom

Geometry as extended XYZ:
```
11
Lattice="7.337 -3.605 0.000 7.337 3.605 0.000 -1.622 0.000 6.295" Properties=species:S:1:pos:R:3 pbc="T T T"
K 2.811 0.000 1.297
K 10.242 0.000 4.998
Cu 5.596 0.000 4.923
Cu 7.457 0.000 1.371
Pd -0.811 0.000 3.147
Br 5.953 1.877 1.451
Br 3.275 0.000 4.600
Br 7.099 1.877 4.843
Br 5.953 -1.877 1.451
Br 9.778 0.000 1.694
Br 7.099 -1.877 4.843
```

---

(5)
First-principles (GGA-PBE) data for crystalline LaTbMg at its relaxed geometry, as listed in Alexandria.

Values from the calculation:
**Volume**: 196.3 Å³ per cell
**E_form**: 0.112 eV per atom
**SG**: R-3m (166)
**Electronic total energy**: -3.61 eV/atom

Geometry as extended XYZ:
```
6
Lattice="2.761 1.594 7.434 -2.761 1.594 7.434 0.000 -3.188 7.434" Properties=species:S:1:pos:R:3 pbc="T T T"
La 0.000 0.000 2.737
La 0.000 0.000 19.565
Tb 0.000 0.000 6.507
Tb 0.000 0.000 15.795
Mg 0.000 0.000 9.720
Mg 0.000 0.000 12.582
```

---

(6)
First-principles (GGA-PBE) data for crystalline KRbCdF6 at its relaxed geometry, as listed in Alexandria.

Values from the calculation:
**Volume**: 196.1 Å³ per cell
**Energy relative to the elements, uncorrected**: -1.938 eV/atom
**SG**: P1 (1)
**Electronic total energy**: -3.52 eV/atom

Geometry as extended XYZ:
```
9
Lattice="5.363 0.000 0.000 0.004 6.493 0.000 0.002 3.246 5.633" Properties=species:S:1:pos:R:3 pbc="T T T"
K 0.000 0.000 0.000
Rb 2.679 6.493 3.757
Cd 5.345 3.247 1.880
F 1.130 1.479 1.886
F 1.136 4.122 0.349
F 1.138 4.128 3.407
F 4.189 2.384 3.417
F 4.191 2.353 0.360
F 4.197 5.015 1.864
```

---

(7)
First-principles (GGA-PBE) data for crystalline LiRu2Rh2 at its relaxed geometry, as listed in Alexandria.

Values from the calculation:
**Volume**: 153.5 Å³ per cell
**E_form**: 0.157 eV per atom
**SG**: P4/mbm (127)
**Electronic total energy**: -6.88 eV/atom

Geometry as extended XYZ:
```
10
Lattice="7.518 0.000 0.000 0.000 7.518 0.000 0.000 0.000 2.715" Properties=species:S:1:pos:R:3 pbc="T T T"
Li 0.000 0.000 0.000
Li 3.759 3.759 0.000
Ru 0.896 2.863 0.000
Ru 2.863 6.622 0.000
Ru 4.655 0.896 0.000
Ru 6.622 4.655 0.000
Rh 1.319 5.079 1.358
Rh 2.440 1.319 1.358
Rh 5.079 6.199 1.358
Rh 6.199 2.440 1.358
```

---

(8)
First-principles (GGA-PBE) data for crystalline Li4Mg2Pd3 at its relaxed geometry, as listed in Alexandria.

Values from the calculation:
**Volume**: 142.5 Å³ per cell
**E_form**: -0.393 eV per atom
**SG**: Immm (71)
**Electronic total energy**: -3.33 eV/atom

Geometry as extended XYZ:
```
9
Lattice="-1.430 3.715 6.706 1.430 -3.715 6.706 1.430 3.715 -6.706" Properties=species:S:1:pos:R:3 pbc="T T T"
Li 1.430 2.476 -4.326
Li 0.000 1.239 2.380
Li 1.430 2.476 4.326
Li 0.000 1.239 11.032
Mg 0.000 2.306 0.000
Mg 0.000 5.124 0.000
Pd 1.430 0.000 0.000
Pd 0.000 0.000 4.774
Pd 0.000 0.000 8.638
```

---

Number 5 is which compound? LaTbMg

---

Copy entry 4 word for word.
First-principles (GGA-PBE) data for crystalline K2Cu2PdBr6 at its relaxed geometry, as listed in Alexandria.

Values from the calculation:
**Volume**: 333.0 Å³ per cell
**Energy relative to the elements, uncorrected**: -0.812 eV/atom
**SG**: C2/m (12)
**Electronic total energy**: -3.14 eV/atom

Geometry as extended XYZ:
```
11
Lattice="7.337 -3.605 0.000 7.337 3.605 0.000 -1.622 0.000 6.295" Properties=species:S:1:pos:R:3 pbc="T T T"
K 2.811 0.000 1.297
K 10.242 0.000 4.998
Cu 5.596 0.000 4.923
Cu 7.457 0.000 1.371
Pd -0.811 0.000 3.147
Br 5.953 1.877 1.451
Br 3.275 0.000 4.600
Br 7.099 1.877 4.843
Br 5.953 -1.877 1.451
Br 9.778 0.000 1.694
Br 7.099 -1.877 4.843
```